Below is a relaxed structure of Mo2WAu, with properties calculated at the PBEsol level.

Calculated values
Energy of formation (eV per formula unit): 1.0
Energy above the lowest structure with this stoichiometry (meV per atom): 113.2
DOS(E_F) (states/eV per atom): 0.74

The structure in CIF format:
```
data_Mo2WAu
_symmetry_space_group_name_H-M 'P 1 m 1'
_symmetry_Int_Tables_number 6
_cell_length_a 2.6820
_cell_length_b 4.5443
_cell_length_c 5.2311
_cell_angle_alpha 90.00
_cell_angle_beta 97.92
_cell_angle_gamma 90.00
loop_
_symmetry_equiv_pos_as_xyz
'x,y,z'
'x,-y,z'
loop_
_atom_site_label
_atom_site_fract_x
_atom_site_fract_y
_atom_site_fract_z
Mo1 0.0000 0.0000 0.0000
Mo2 0.2403 0.5000 0.7312
W1 0.6888 0.5000 0.2148
Au1 0.6494 0.0000 0.4952
```

Below is a relaxed structure of Ca3ZrO, with properties calculated at the PBEsol level.

Calculated values
E_form (uncorrected) (eV per atom): -0.6973
DOS(E_F) (states/eV per atom): 1.48

The structure in CIF format:
```
data_Ca3ZrO
_symmetry_space_group_name_H-M 'P m -3 m'
_symmetry_Int_Tables_number 221
_symmetry_space_group_name_Hall '-P 4 2 3'
_cell_length_a 4.9070
_cell_length_b 4.9070
_cell_length_c 4.9070
_cell_angle_alpha 90.00
_cell_angle_beta 90.00
_cell_angle_gamma 90.00
loop_
_atom_site_label
_atom_site_fract_x
_atom_site_fract_y
_atom_site_fract_z
Ca1 0.0000 0.0000 0.5000
Zr1 0.5000 0.5000 0.5000
O1 0.0000 0.0000 0.0000
```

Below is a relaxed structure of HgTe2Rh, with properties calculated at the PBEsol level.

Calculated values
E_form (uncorrected) (eV per atom): -0.0655
Energy above the lowest structure with this stoichiometry (meV per atom): 195.1
DOS(E_F) (states/eV per atom): 0.52

The structure in CIF format:
```
data_HgTe2Rh
_symmetry_space_group_name_H-M 'I m m m'
_symmetry_Int_Tables_number 71
_symmetry_space_group_name_Hall '-I 2 2'
_cell_length_a 3.4485
_cell_length_b 4.5326
_cell_length_c 11.8450
_cell_angle_alpha 90.00
_cell_angle_beta 90.00
_cell_angle_gamma 90.00
loop_
_atom_site_label
_atom_site_fract_x
_atom_site_fract_y
_atom_site_fract_z
Hg1 0.0000 0.0000 0.0000
Te1 0.0000 0.5000 0.1719
Rh1 0.0000 0.0000 0.5000
```

Below is a relaxed structure of Li3Fe2Si2O8, with properties calculated at the PBEsol level.

Calculated values
E_form (uncorrected) (eV per atom): -2.0762
Energy above the lowest structure with this stoichiometry (meV per atom): 15.1

The structure in CIF format:
```
data_Li3Fe2Si2O8
_symmetry_space_group_name_H-M 'P 1 c 1'
_symmetry_Int_Tables_number 7
_cell_length_a 6.4780
_cell_length_b 4.9879
_cell_length_c 10.5160
_cell_angle_alpha 90.00
_cell_angle_beta 90.46
_cell_angle_gamma 90.00
loop_
_symmetry_equiv_pos_as_xyz
'x,y,z'
'x,-y,z+1/2'
loop_
_atom_site_label
_atom_site_fract_x
_atom_site_fract_y
_atom_site_fract_z
Li1 0.0000 0.0649 0.0000
Li2 0.0010 0.4299 0.1670
Li3 0.2300 0.0692 0.7568
Fe1 0.5036 0.4364 0.1766
Fe2 0.5132 0.0604 0.9917
Si1 0.2449 0.4348 0.4229
Si2 0.7656 0.0804 0.7471
O1 0.0497 0.4442 0.9916
O2 0.2623 0.4735 0.7704
O3 0.2645 0.1016 0.4290
O4 0.4599 0.4494 0.9930
O5 0.5448 0.0415 0.1800
O6 0.7499 0.0088 0.8987
O7 0.7496 0.4038 0.7209
O8 0.9718 0.0395 0.1845
```

Below is a relaxed structure of Cu2RhAu, with properties calculated at the PBEsol level.

Calculated values
Energy of formation (eV per formula unit): 0.3
DOS(E_F) (states/eV per atom): 0.70

The structure in CIF format:
```
data_Cu2RhAu
_symmetry_space_group_name_H-M 'C 1 2/m 1'
_symmetry_Int_Tables_number 12
_cell_length_a 8.6088
_cell_length_b 2.7083
_cell_length_c 4.7059
_cell_angle_alpha 90.00
_cell_angle_beta 100.50
_cell_angle_gamma 90.00
loop_
_symmetry_equiv_pos_as_xyz
'x,y,z'
'-x,-y,-z'
'-x,y,-z'
'x,-y,z'
'x+1/2,y+1/2,z'
'-x+1/2,-y+1/2,-z'
'-x+1/2,y+1/2,-z'
'x+1/2,-y+1/2,z'
loop_
_atom_site_label
_atom_site_fract_x
_atom_site_fract_y
_atom_site_fract_z
Cu1 0.2472 0.0000 0.2357
Rh1 0.0000 0.5000 0.0000
Au1 0.0000 0.0000 0.5000
```

Below is a relaxed structure of ZnCdSe3, with properties calculated at the PBEsol level.

Calculated values
E_form (uncorrected) (eV per atom): 0.3148
DOS(E_F) (states/eV per atom): 0.88

The structure in CIF format:
```
data_ZnCdSe3
_symmetry_space_group_name_H-M 'P m -3 m'
_symmetry_Int_Tables_number 221
_symmetry_space_group_name_Hall '-P 4 2 3'
_cell_length_a 4.8511
_cell_length_b 4.8511
_cell_length_c 4.8511
_cell_angle_alpha 90.00
_cell_angle_beta 90.00
_cell_angle_gamma 90.00
loop_
_atom_site_label
_atom_site_fract_x
_atom_site_fract_y
_atom_site_fract_z
Zn1 0.0000 0.0000 0.0000
Cd1 0.5000 0.5000 0.5000
Se1 0.0000 0.0000 0.5000
```

Below is a relaxed structure of Mn2In2As, with properties calculated at the PBEsol level.

Calculated values
Energy of formation (eV per formula unit): 2.5
DOS(E_F) (states/eV per atom): 1.03

The structure in CIF format:
```
data_Mn2In2As
_symmetry_space_group_name_H-M 'I 4/m m m'
_symmetry_Int_Tables_number 139
_symmetry_space_group_name_Hall '-I 4 2'
_cell_length_a 3.2086
_cell_length_b 3.2086
_cell_length_c 16.8804
_cell_angle_alpha 90.00
_cell_angle_beta 90.00
_cell_angle_gamma 90.00
loop_
_atom_site_label
_atom_site_fract_x
_atom_site_fract_y
_atom_site_fract_z
Mn1 0.0000 0.5000 0.2500
In1 0.0000 0.0000 0.1168
As1 0.0000 0.0000 0.5000
```

Below is a relaxed structure of Sm2MgSi2, with properties calculated at the PBEsol level.

Calculated values
E_form (uncorrected) (eV per atom): -0.7404
DOS(E_F) (states/eV per atom): 0.39

The structure in CIF format:
```
data_Sm2MgSi2
_symmetry_space_group_name_H-M 'P 4/m b m'
_symmetry_Int_Tables_number 127
_symmetry_space_group_name_Hall '-P 4 2ab'
_cell_length_a 7.2457
_cell_length_b 7.2457
_cell_length_c 4.2355
_cell_angle_alpha 90.00
_cell_angle_beta 90.00
_cell_angle_gamma 90.00
loop_
_atom_site_label
_atom_site_fract_x
_atom_site_fract_y
_atom_site_fract_z
Sm1 0.1792 0.3208 0.0000
Mg1 0.0000 0.0000 0.5000
Si1 0.1165 0.6165 0.5000
```

Below is a relaxed structure of LiOsF3, with properties calculated at the PBEsol level.

Calculated values
E_form (uncorrected) (eV per atom): -0.8623
DOS(E_F) (states/eV per atom): 0.51

The structure in CIF format:
```
data_LiOsF3
_symmetry_space_group_name_H-M 'P m -3 m'
_symmetry_Int_Tables_number 221
_symmetry_space_group_name_Hall '-P 4 2 3'
_cell_length_a 3.6945
_cell_length_b 3.6945
_cell_length_c 3.6945
_cell_angle_alpha 90.00
_cell_angle_beta 90.00
_cell_angle_gamma 90.00
loop_
_atom_site_label
_atom_site_fract_x
_atom_site_fract_y
_atom_site_fract_z
Li1 0.0000 0.0000 0.0000
Os1 0.5000 0.5000 0.5000
F1 0.0000 0.0000 0.5000
```

Below is a relaxed structure of NaZr2N, with properties calculated at the PBEsol level.

Calculated values
E_form (uncorrected) (eV per atom): -0.1877
DOS(E_F) (states/eV per atom): 0.88

The structure in CIF format:
```
data_NaZr2N
_symmetry_space_group_name_H-M 'I -4 2 d'
_symmetry_Int_Tables_number 122
_symmetry_space_group_name_Hall 'I -4 2bw'
_cell_length_a 6.5373
_cell_length_b 6.5373
_cell_length_c 8.1890
_cell_angle_alpha 90.00
_cell_angle_beta 90.00
_cell_angle_gamma 90.00
loop_
_atom_site_label
_atom_site_fract_x
_atom_site_fract_y
_atom_site_fract_z
Na1 0.0000 0.0000 0.0000
Zr1 0.1158 0.2500 0.6250
N1 0.0000 0.0000 0.5000
```

Below is a relaxed structure of BaIn2Pt2, with properties calculated at the PBEsol level.

Calculated values
Energy of formation (eV per formula unit): -3.2
DOS(E_F) (states/eV per atom): 0.57

The structure in CIF format:
```
data_BaIn2Pt2
_symmetry_space_group_name_H-M 'I 4/m m m'
_symmetry_Int_Tables_number 139
_symmetry_space_group_name_Hall '-I 4 2'
_cell_length_a 4.5250
_cell_length_b 4.5250
_cell_length_c 11.5381
_cell_angle_alpha 90.00
_cell_angle_beta 90.00
_cell_angle_gamma 90.00
loop_
_atom_site_label
_atom_site_fract_x
_atom_site_fract_y
_atom_site_fract_z
Ba1 0.0000 0.0000 0.0000
In1 0.0000 0.5000 0.2500
Pt1 0.0000 0.0000 0.3848
```

Below is a relaxed structure of SrIn2RhAu, with properties calculated at the PBEsol level.

Calculated values
Energy of formation (eV per formula unit): 2.2
DOS(E_F) (states/eV per atom): 1.11

The structure in CIF format:
```
data_SrIn2RhAu
_symmetry_space_group_name_H-M 'P 4/m m m'
_symmetry_Int_Tables_number 123
_symmetry_space_group_name_Hall '-P 4 2'
_cell_length_a 5.0493
_cell_length_b 5.0493
_cell_length_c 5.6060
_cell_angle_alpha 90.00
_cell_angle_beta 90.00
_cell_angle_gamma 90.00
loop_
_atom_site_label
_atom_site_fract_x
_atom_site_fract_y
_atom_site_fract_z
Sr1 0.0000 0.0000 0.0000
In1 0.0000 0.5000 0.5000
Rh1 0.5000 0.5000 0.0000
Au1 0.0000 0.0000 0.5000
```

Repeat the sixth record exactly.
Below is a relaxed structure of ZnCdSe3, with properties calculated at the PBEsol level.

Calculated values
E_form (uncorrected) (eV per atom): 0.3148
DOS(E_F) (states/eV per atom): 0.88

The structure in CIF format:
```
data_ZnCdSe3
_symmetry_space_group_name_H-M 'P m -3 m'
_symmetry_Int_Tables_number 221
_symmetry_space_group_name_Hall '-P 4 2 3'
_cell_length_a 4.8511
_cell_length_b 4.8511
_cell_length_c 4.8511
_cell_angle_alpha 90.00
_cell_angle_beta 90.00
_cell_angle_gamma 90.00
loop_
_atom_site_label
_atom_site_fract_x
_atom_site_fract_y
_atom_site_fract_z
Zn1 0.0000 0.0000 0.0000
Cd1 0.5000 0.5000 0.5000
Se1 0.0000 0.0000 0.5000
```

Please write out number 11 again, unchanged.
Below is a relaxed structure of BaIn2Pt2, with properties calculated at the PBEsol level.

Calculated values
Energy of formation (eV per formula unit): -3.2
DOS(E_F) (states/eV per atom): 0.57

The structure in CIF format:
```
data_BaIn2Pt2
_symmetry_space_group_name_H-M 'I 4/m m m'
_symmetry_Int_Tables_number 139
_symmetry_space_group_name_Hall '-I 4 2'
_cell_length_a 4.5250
_cell_length_b 4.5250
_cell_length_c 11.5381
_cell_angle_alpha 90.00
_cell_angle_beta 90.00
_cell_angle_gamma 90.00
loop_
_atom_site_label
_atom_site_fract_x
_atom_site_fract_y
_atom_site_fract_z
Ba1 0.0000 0.0000 0.0000
In1 0.0000 0.5000 0.2500
Pt1 0.0000 0.0000 0.3848
```